(1)
Material: HoV2C
Method: DFT, PBE
State: relaxed

## Properties
Final energy, Ha/atom: -0.2810
Magnetization, μB/f.u.: 0.0
Relative energy among the computed polymorphs, meV/atom: 291

Cell: 2.9666 2.9666 6.4350 Å, 90.00 90.00 90.00°
Last column: nearest neighbours and their distance in Å.
Fractional positions:
1 C 0.5000 0.5000 0.0000  8 V 2.32
2 Ho 0.5000 0.5000 0.5000  4 Ho 2.97, 8 V 3.06, 2 C 3.22
3 V 0.0000 0.0000 0.8461  1 V 1.98
4 V 0.0000 0.0000 0.1539  1 V 1.98

***

(2)
Material: Be3Mo2
Method: DFT, PBE
State: relaxed

## Properties
Final energy, Ha/atom: -0.2483
Magnetization, μB/f.u.: 0.0
Relative energy among the computed polymorphs, meV/atom: 33

Cell: 4.6008 4.6008 5.9971 Å, 90.00 90.00 59.42°
Last column: nearest neighbours and their distance in Å.
Fractional positions:
1 Be 0.5000 0.5000 0.5000  4 Be 2.02
2 Be 0.0000 0.0000 0.0000  4 Be 2.02
3 Be 0.6573 0.1573 0.7500  2 Be 2.02
4 Be 0.8427 0.3427 0.2500  2 Be 2.02
5 Be 0.1573 0.6573 0.7500  2 Be 2.02
6 Be 0.3427 0.8427 0.2500  2 Be 2.02
7 Mo 0.1617 0.1617 0.6043  9 Be 2.43-2.70
8 Mo 0.8383 0.8383 0.3957  9 Be 2.43-2.70
9 Mo 0.3383 0.3383 0.1043  9 Be 2.43-2.70
10 Mo 0.6617 0.6617 0.8957  9 Be 2.43-2.70

***

(3)
Material: CaPmGaRh
Method: DFT, PBE
State: relaxed

## Properties
Final energy, Ha/atom: -0.1753
Magnetization, μB/f.u.: 0.0
Relative energy among the computed polymorphs, meV/atom: 111

Cell: 5.0359 5.0359 5.0359 Å, 60.00 60.00 60.00°
Last column: nearest neighbours and their distance in Å.
Fractional positions:
1 Ca 0.0000 0.0000 0.0000  4 Rh 3.08, 4 Ga 3.08
2 Rh 0.7500 0.7500 0.7500  4 Pm 3.08, 4 Ca 3.08
3 Ga 0.2500 0.2500 0.2500  4 Ca 3.08, 4 Pm 3.08
4 Pm 0.5000 0.5000 0.5000  4 Rh 3.08, 4 Ga 3.08

***

(4)
Material: PuCd2Ag2
Method: DFT, PBE
State: relaxed

## Properties
Final energy, Ha/atom: -0.1616
Magnetization, μB/f.u.: 6.3
Relative energy among the computed polymorphs, meV/atom: 0

Cell: 2.9884 8.5223 8.5223 Å, 90.00 90.00 90.00°
Last column: nearest neighbours and their distance in Å.
Fractional positions:
1 Pu 0.0000 0.0000 0.0000  2 Pu 2.99
2 Pu 0.0000 0.5000 0.5000  2 Pu 2.99
3 Cd 0.0000 0.1239 0.6239  6 Ag 2.86-2.97, 3 Cd 2.99
4 Cd 0.0000 0.6239 0.8761  6 Ag 2.86-2.97, 3 Cd 2.99
5 Cd 0.0000 0.8761 0.3761  6 Ag 2.86-2.97, 3 Cd 2.99
6 Cd 0.0000 0.3761 0.1239  6 Ag 2.86-2.97, 3 Cd 2.99
7 Ag 0.5000 0.3266 0.8266  6 Cd 2.86-2.97, 2 Ag 2.99
8 Ag 0.5000 0.8266 0.6734  6 Cd 2.86-2.97, 2 Ag 2.99
9 Ag 0.5000 0.6734 0.1734  6 Cd 2.86-2.97, 2 Ag 2.99
10 Ag 0.5000 0.1734 0.3266  6 Cd 2.86-2.97, 2 Ag 2.99

***

(5)
Material: ScBF2
Method: DFT, PBE
State: relaxed

## Properties
Final energy, Ha/atom: -0.1968
Magnetization, μB/f.u.: 0.0
Formation energy without anion corrections, meV per atom: -1167
Relative energy among the computed polymorphs, meV/atom: 136

Cell: 8.6430 8.6430 8.6430 Å, 19.83 19.83 19.83°
Last column: nearest neighbours and their distance in Å.
Fractional positions:
1 Sc 0.5000 0.5000 0.5000  6 F 2.14
2 B 0.0000 0.0000 0.0000  2 F 2.96, 6 B 2.98
3 F 0.8837 0.8837 0.8837  3 Sc 2.14
4 F 0.1163 0.1163 0.1163  3 Sc 2.14

***

(6)
Material: TlCd2TeSe
Method: DFT, PBE
State: relaxed

## Properties
Final energy, Ha/atom: -0.0731
Magnetization, μB/f.u.: 0.0
Formation energy without anion corrections, meV per atom: 175

Cell: 5.6699 5.6424 5.6699 Å, 90.00 90.00 90.00°
Last column: nearest neighbours and their distance in Å.
Fractional positions:
1 Tl 0.5000 0.5000 0.5000  8 Cd 4.00, 4 Se 4.01
2 Te 0.0000 0.0000 0.0000  2 Se 2.82, 4 Cd 2.83
3 Se 0.0000 0.5000 0.0000  2 Te 2.82
4 Cd 0.0000 0.0000 0.5000  2 Te 2.83
5 Cd 0.5000 0.0000 0.0000  2 Te 2.83

***

(7)
Material: RbMgBe3
Method: DFT, PBE
State: relaxed

## Properties
Final energy, Ha/atom: -0.0183
Magnetization, μB/f.u.: 0.0
Relative energy among the computed polymorphs, meV/atom: 977

Cell: 5.6377 5.6377 5.6377 Å, 90.00 90.00 90.00°
Last column: nearest neighbours and their distance in Å.
Fractional positions:
1 Be 0.0000 0.5000 0.0000  2 Rb 2.82
2 Be 0.0000 0.0000 0.5000  2 Rb 2.82
3 Be 0.5000 0.0000 0.0000  2 Rb 2.82
4 Mg 0.5000 0.5000 0.5000  12 Be 3.99
5 Rb 0.0000 0.0000 0.0000  6 Be 2.82

***

(8)
Material: PrHoEr6
Method: DFT, PBE
State: relaxed

## Properties
Final energy, Ha/atom: -0.1603
Magnetization, μB/f.u.: 0.0
Relative energy among the computed polymorphs, meV/atom: 21

Cell: 6.7263 6.7263 9.6177 Å, 111.41 111.41 120.34°
Last column: nearest neighbours and their distance in Å.
Fractional positions:
1 Pr 0.5000 0.5000 0.5000  2 Ho 3.27, 6 Er 3.55-3.64
2 Ho 0.0000 0.0000 0.0000  2 Pr 3.27, 6 Er 3.38-3.52
3 Er 0.2960 0.2960 0.7524  6 Er 3.23-3.50, 1 Ho 3.38, 1 Pr 3.55
4 Er 0.6702 0.1636 0.2408  6 Er 3.23-3.50, 1 Ho 3.52
5 Er 0.7040 0.7040 0.2476  6 Er 3.23-3.50, 1 Ho 3.38, 1 Pr 3.55
6 Er 0.8364 0.3298 0.7592  6 Er 3.23-3.50, 1 Ho 3.52
7 Er 0.3298 0.8364 0.7592  6 Er 3.23-3.50, 1 Ho 3.52
8 Er 0.1636 0.6702 0.2408  6 Er 3.23-3.50, 1 Ho 3.52

***

(9)
Material: Si2BiSb2
Method: DFT, PBE
State: relaxed

## Properties
Final energy, Ha/atom: -0.1529
Magnetization, μB/f.u.: 0.0
Formation energy without anion corrections, meV per atom: 433
Relative energy among the computed polymorphs, meV/atom: 101

Cell: 7.8531 7.8531 3.8224 Å, 90.00 90.00 90.00°
Last column: nearest neighbours and their distance in Å.
Fractional positions:
1 Sb 0.1828 0.6828 0.5000  6 Si 2.97-3.06
2 Sb 0.6828 0.8172 0.5000  6 Si 2.97-3.06
3 Sb 0.8172 0.3172 0.5000  6 Si 2.97-3.06
4 Sb 0.3172 0.1828 0.5000  6 Si 2.97-3.06
5 Si 0.3870 0.8870 0.0000  1 Si 2.51
6 Si 0.8870 0.6130 0.0000  1 Si 2.51
7 Si 0.6130 0.1130 0.0000  1 Si 2.51
8 Si 0.1130 0.3870 0.0000  1 Si 2.51
9 Bi 0.0000 0.0000 0.0000  4 Si 3.17, 8 Sb 3.45
10 Bi 0.5000 0.5000 0.0000  4 Si 3.17, 8 Sb 3.45

***

(10)
Material: NaVCd
Method: DFT, PBE
State: relaxed

## Properties
Final energy, Ha/atom: -0.1152
Magnetization, μB/f.u.: 3.6
Relative energy among the computed polymorphs, meV/atom: 496

Cell: 5.1157 5.1157 2.9540 Å, 90.00 90.00 120.00°
Last column: nearest neighbours and their distance in Å.
Fractional positions:
1 Na 0.6667 0.3333 0.5000  2 Na 2.95, 6 V 3.30, 6 Cd 3.30
2 Cd 0.0000 0.0000 0.0000  3 V 2.95, 2 Cd 2.95, 6 Na 3.30
3 V 0.3333 0.6667 0.0000  3 Cd 2.95, 2 V 2.95, 6 Na 3.30

***

(11)
Material: Pr2NpReN6
Method: DFT, PBE
State: relaxed

## Properties
Final energy, Ha/atom: -0.3438
Magnetization, μB/f.u.: 1.6
Formation energy without anion corrections, meV per atom: -865

Cell: 5.7979 5.7687 8.1221 Å, 90.00 90.70 90.00°
Last column: nearest neighbours and their distance in Å.
Fractional positions:
1 Pr 0.0098 0.9697 0.2480  6 N 2.50-2.70
2 Pr 0.5098 0.5303 0.7480  6 N 2.50-2.70
3 Pr 0.9902 0.0303 0.7520  6 N 2.50-2.70
4 Pr 0.4902 0.4697 0.2520  6 N 2.50-2.70
5 Np 0.5000 0.0000 0.0000  6 N 2.13-2.16
6 Np 0.0000 0.5000 0.5000  6 N 2.13-2.16
7 Re 0.5000 0.0000 0.5000  6 N 2.02-2.05
8 Re 0.0000 0.5000 0.0000  6 N 2.02-2.05
9 N 0.2661 0.7168 0.0449  1 Re 2.02, 1 Np 2.16
10 N 0.7661 0.7832 0.5449  1 Re 2.02, 1 Np 2.16
11 N 0.7339 0.2832 0.9551  1 Re 2.02, 1 Np 2.16
12 N 0.2339 0.2168 0.4551  1 Re 2.02, 1 Np 2.16
13 N 0.2838 0.7253 0.4559  1 Re 2.05, 1 Np 2.13
14 N 0.7838 0.7747 0.9559  1 Re 2.05, 1 Np 2.13
15 N 0.7162 0.2747 0.5441  1 Re 2.05, 1 Np 2.13
16 N 0.2162 0.2253 0.0441  1 Re 2.05, 1 Np 2.13
17 N 0.9190 0.5121 0.2421  1 Re 2.03, 1 Np 2.14
18 N 0.4190 0.9879 0.7421  1 Re 2.03, 1 Np 2.14
19 N 0.0810 0.4879 0.7579  1 Re 2.03, 1 Np 2.14
20 N 0.5810 0.0121 0.2579  1 Re 2.03, 1 Np 2.14

***

(12)
Material: K2MnIr
Method: DFT, PBE
State: relaxed

## Properties
Final energy, Ha/atom: -0.1517
Magnetization, μB/f.u.: 4.1
Relative energy among the computed polymorphs, meV/atom: 494

Cell: 5.4609 4.0727 4.0727 Å, 90.00 90.00 90.00°
Last column: nearest neighbours and their distance in Å.
Fractional positions:
1 Ir 0.5000 0.0000 0.5000  4 Mn 2.88
2 K 0.0000 0.0000 0.0000  4 K 2.88
3 K 0.0000 0.5000 0.5000  4 K 2.88
4 Mn 0.5000 0.5000 0.0000  4 Ir 2.88

***

(13)
Material: ZrAu5
Method: DFT, PBE
State: relaxed

## Properties
Final energy, Ha/atom: -0.1632
Magnetization, μB/f.u.: 0.0

Cell: 4.0158 5.0845 6.2675 Å, 74.37 90.00 66.74°
Last column: nearest neighbours and their distance in Å.
Fractional positions:
1 Au 0.9752 0.0496 0.9471  3 Zr 2.93-2.95, 9 Au 2.94-3.15
2 Au 0.6467 0.7066 0.7829  10 Au 2.89-3.15, 2 Zr 2.95
3 Au 0.3056 0.3887 0.6112  10 Au 2.89-3.05, 2 Zr 3.13
4 Au 0.9644 0.0713 0.4393  10 Au 2.89-3.15, 2 Zr 2.95
5 Au 0.6359 0.7282 0.2751  3 Zr 2.92-2.95, 9 Au 2.94-3.15
6 Zr 0.3055 0.3890 0.1111  12 Au 2.92-3.13

***

(14)
Material: MnCr2Ni9
Method: DFT, PBE
State: relaxed

## Properties
Final energy, Ha/atom: -0.2478
Magnetization, μB/f.u.: 8.3

Cell: 3.5517 3.5517 10.6573 Å, 90.00 90.00 90.00°
Last column: nearest neighbours and their distance in Å.
Fractional positions:
1 Mn 0.0000 0.0000 0.0000  12 Ni 2.51-2.53
2 Cr 0.0000 0.0000 0.3318  12 Ni 2.48-2.52
3 Cr 0.0000 0.0000 0.6682  12 Ni 2.48-2.52
4 Ni 0.5000 0.5000 0.0000  4 Mn 2.51, 8 Ni 2.53
5 Ni 0.5000 0.5000 0.3349  8 Ni 2.50, 4 Cr 2.51
6 Ni 0.5000 0.5000 0.6651  8 Ni 2.50, 4 Cr 2.51
7 Ni 0.5000 0.0000 0.1693  2 Cr 2.48, 8 Ni 2.50-2.53, 2 Mn 2.53
8 Ni 0.5000 0.0000 0.5000  8 Ni 2.50-2.51, 4 Cr 2.52
9 Ni 0.5000 0.0000 0.8307  2 Cr 2.48, 8 Ni 2.50-2.53, 2 Mn 2.53
10 Ni 0.0000 0.5000 0.1693  2 Cr 2.48, 8 Ni 2.50-2.53, 2 Mn 2.53
11 Ni 0.0000 0.5000 0.5000  8 Ni 2.50-2.51, 4 Cr 2.52
12 Ni 0.0000 0.5000 0.8307  2 Cr 2.48, 8 Ni 2.50-2.53, 2 Mn 2.53

***

(15)
Material: SbRuSe
Method: DFT, PBE
State: relaxed

## Properties
Final energy, Ha/atom: -0.2078
Magnetization, μB/f.u.: 0.0
Formation energy without anion corrections, meV per atom: -26

Cell: 3.5488 3.5488 5.8775 Å, 90.00 90.00 120.00°
Last column: nearest neighbours and their distance in Å.
Fractional positions:
1 Ru 0.0000 0.0000 0.9700  3 Se 2.44
2 Sb 0.6667 0.3333 0.2868  3 Ru 2.77
3 Se 0.3333 0.6667 0.7433  3 Ru 2.44

***

(16)
Material: Tm2AlRh2
Method: DFT, PBE
State: relaxed

## Properties
Final energy, Ha/atom: -0.2358
Magnetization, μB/f.u.: 0.0

Cell: 5.7183 5.7183 7.5049 Å, 76.87 76.87 56.41°
Last column: nearest neighbours and their distance in Å.
Fractional positions:
1 Tm 0.4971 0.2080 0.1498  6 Rh 2.87-3.17
2 Tm 0.7920 0.5029 0.3502  6 Rh 2.87-3.17
3 Tm 0.5029 0.7920 0.8502  6 Rh 2.87-3.17
4 Tm 0.2080 0.4971 0.6498  6 Rh 2.87-3.17
5 Al 0.1372 0.8628 0.2500  4 Rh 2.51-2.52
6 Al 0.8628 0.1372 0.7500  4 Rh 2.51-2.52
7 Rh 0.7305 0.0076 0.5070  2 Al 2.51-2.52, 1 Rh 2.71
8 Rh 0.9924 0.2695 0.9930  2 Al 2.51-2.52, 1 Rh 2.71
9 Rh 0.2695 0.9924 0.4930  2 Al 2.51-2.52, 1 Rh 2.71
10 Rh 0.0076 0.7305 0.0070  2 Al 2.51-2.52, 1 Rh 2.71

***

(17)
Material: GdTh2Mg
Method: DFT, PBE
State: relaxed

## Properties
Final energy, Ha/atom: -0.2701
Magnetization, μB/f.u.: 7.3
Relative energy among the computed polymorphs, meV/atom: 215

Cell: 3.4241 3.4241 12.8098 Å, 82.32 82.32 60.00°
Last column: nearest neighbours and their distance in Å.
Fractional positions:
1 Mg 0.0000 0.0000 0.0000  2 Th 3.33, 6 Mg 3.42
2 Gd 0.5000 0.5000 0.5000  6 Gd 3.42, 6 Th 3.59
3 Th 0.0876 0.0876 0.7371  1 Mg 3.33, 6 Th 3.42, 3 Gd 3.59
4 Th 0.9124 0.9124 0.2629  1 Mg 3.33, 6 Th 3.42, 3 Gd 3.59

***

(18)
Material: LaDyTm2
Method: DFT, PBE
State: relaxed

## Properties
Final energy, Ha/atom: -0.1692
Magnetization, μB/f.u.: 0.0
Relative energy among the computed polymorphs, meV/atom: 0

Cell: 3.5917 3.5917 11.6636 Å, 81.14 81.14 60.00°
Last column: nearest neighbours and their distance in Å.
Fractional positions:
1 La 0.6662 0.6662 0.0015  6 Tm 3.58-3.61, 6 La 3.59
2 Dy 0.5004 0.5004 0.4987  6 Tm 3.48-3.50, 6 Dy 3.59
3 Tm 0.0852 0.0852 0.7443  3 Dy 3.50, 6 Tm 3.59, 3 La 3.61
4 Tm 0.2482 0.2482 0.2555  3 Dy 3.48, 3 La 3.58, 6 Tm 3.59

***

(19)
Material: Dy3Al5Co2
Method: DFT, PBE
State: relaxed

## Properties
Final energy, Ha/atom: -0.1906
Magnetization, μB/f.u.: 0.0

Cell: 4.0559 9.5709 9.5709 Å, 90.00 90.00 90.00°
Last column: nearest neighbours and their distance in Å.
Fractional positions:
1 Dy 0.0000 0.3236 0.8236  3 Co 2.82-2.85, 2 Al 3.13
2 Dy 0.0000 0.6764 0.1764  3 Co 2.82-2.85, 2 Al 3.13
3 Dy 0.0000 0.1764 0.3236  3 Co 2.82-2.85, 2 Al 3.13
4 Dy 0.0000 0.8236 0.6764  3 Co 2.82-2.85, 2 Al 3.13
5 Dy 0.0000 0.0000 0.0000  8 Al 3.05
6 Dy 0.0000 0.5000 0.5000  8 Al 3.05
7 Al 0.5000 0.2283 0.0684  2 Co 2.56, 2 Al 2.68-2.75
8 Al 0.5000 0.7717 0.9316  2 Co 2.56, 2 Al 2.68-2.75
9 Al 0.5000 0.9316 0.2283  2 Co 2.56, 2 Al 2.68-2.75
10 Al 0.5000 0.0684 0.7717  2 Co 2.56, 2 Al 2.68-2.75
11 Al 0.5000 0.2717 0.5684  2 Co 2.56, 2 Al 2.68-2.75
12 Al 0.5000 0.7283 0.4316  2 Co 2.56, 2 Al 2.68-2.75
13 Al 0.5000 0.5684 0.7283  2 Co 2.56, 2 Al 2.68-2.75
14 Al 0.5000 0.4316 0.2717  2 Co 2.56, 2 Al 2.68-2.75
15 Al 0.5000 0.0000 0.5000  4 Co 2.56, 4 Al 2.68
16 Al 0.5000 0.5000 0.0000  4 Co 2.56, 4 Al 2.68
17 Co 0.0000 0.1151 0.6151  6 Al 2.56, 3 Dy 2.82-2.85
18 Co 0.0000 0.8849 0.3849  6 Al 2.56, 3 Dy 2.82-2.85
19 Co 0.0000 0.3849 0.1151  6 Al 2.56, 3 Dy 2.82-2.85
20 Co 0.0000 0.6151 0.8849  6 Al 2.56, 3 Dy 2.82-2.85

***

(20)
Material: Rb3Cd2Au4
Method: DFT, PBE
State: relaxed

## Properties
Final energy, Ha/atom: -0.0824
Magnetization, μB/f.u.: 0.0

Cell: 4.9687 6.7366 9.6156 Å, 105.10 90.00 111.64°
Last column: nearest neighbours and their distance in Å.
Fractional positions:
1 Rb 0.3717 0.7433 0.6217  6 Au 3.57-3.65, 2 Cd 3.65-3.72
2 Rb 0.0000 0.0000 0.0000  2 Au 3.42
3 Rb 0.6283 0.2567 0.3783  6 Au 3.57-3.65, 2 Cd 3.65-3.72
4 Cd 0.3271 0.6542 0.2227  5 Au 2.84-2.91
5 Cd 0.6729 0.3458 0.7773  5 Au 2.84-2.91
6 Au 0.7528 0.5057 0.0864  3 Cd 2.84-2.86, 3 Au 2.90-2.98
7 Au 0.0831 0.1661 0.6327  2 Au 2.81-2.90, 2 Cd 2.91
8 Au 0.9169 0.8339 0.3673  2 Au 2.81-2.90, 2 Cd 2.91
9 Au 0.2472 0.4943 0.9136  3 Cd 2.84-2.86, 3 Au 2.90-2.98